1.
Below is an optimized crystal structure of ScZn2Os, with properties calculated at the PBE-GGA level.

Results
- Uncorrected energy: -4.8649 eV/atom
- M_tot: 0.0 Bohr magnetons per cell
- Mass density: 8.703 g/cm3
- Energy relative to the lowest polymorph listed for this composition: 41.7 kJ/mol of atoms
- Energy relative to the elements: 0.6 eV/f.u.
- DOS(E_F): 0.54 states/eV per atom

a b c (Å): 3.829 3.829 9.902
angles (deg): 78.85 78.85 90.00
Fractional positions:
Zn: 0.671 0.125 0.250
Os: 0.750 0.250 0.500
Sc: 0.500 0.500 0.000
Zn: 0.079 0.625 0.250
Os: 0.000 0.000 0.000
Zn: 0.375 0.329 0.750
Sc: 0.250 0.750 0.500
Zn: 0.875 0.921 0.750

---

2.
Below is an optimized crystal structure of Ba2ZnTc, with properties calculated at the PBE-GGA level.

Results
- Uncorrected energy: -3.1233 eV/atom
- M_tot: 1.4 Bohr magnetons per cell
- Mass density: 6.638 g/cm3
- Energy relative to the elements: 3.0 eV/f.u.
- DOS(E_F): 1.53 states/eV per atom

a b c (Å): 5.371 5.371 5.371
angles (deg): 60.00 60.00 60.00
Site moments in Bohr magnetons follow the coordinates.
Fractional positions:
Ba: 0.000 0.000 0.000  -0.07
Ba: 0.250 0.250 0.250  0.02
Tc: 0.500 0.500 0.500  1.49
Zn: 0.750 0.750 0.750  -0.05

---

3.
Below is an optimized crystal structure of CaPm3In4, with properties calculated at the PBE-GGA level.

Results
- Uncorrected energy: -3.8827 eV/atom
- M_tot: 0.0 Bohr magnetons per cell
- Mass density: 6.780 g/cm3
- Energy relative to the elements: -3.9 eV/f.u.
- DOS(E_F): 0.68 states/eV per atom

a b c (Å): 3.855 3.855 15.395
angles (deg): 90.00 90.00 90.00
Fractional positions:
Pm: 0.500 0.500 0.500
In: 0.000 0.000 0.875
Ca: 0.500 0.500 0.000
Pm: 0.500 0.500 0.249
In: 0.000 0.000 0.125
Pm: 0.500 0.500 0.751
In: 0.000 0.000 0.624
In: 0.000 0.000 0.376

---

4.
Below is an optimized crystal structure of TmGa4Ni, with properties calculated at the PBE-GGA level.

Results
- Uncorrected energy: -3.8549 eV/atom
- M_tot: 0.0 Bohr magnetons per cell
- Mass density: 6.752 g/cm3
- Energy relative to the elements: -0.8 eV/f.u.
- DOS(E_F): 0.64 states/eV per atom

a b c (Å): 6.950 6.950 5.159
angles (deg): 90.00 90.00 90.00
Fractional positions:
Tm: 0.500 0.500 0.000
Tm: 0.000 0.000 0.500
Ni: 0.000 0.000 0.000
Ga: 0.173 0.500 0.445
Ga: 0.000 0.327 0.945
Ga: 0.500 0.173 0.555
Ga: 0.500 0.827 0.555
Ga: 0.000 0.673 0.945
Ni: 0.500 0.500 0.500
Ga: 0.827 0.500 0.445
Ga: 0.673 0.000 0.055
Ga: 0.327 0.000 0.055

---

5.
Below is an optimized crystal structure of Rb3TbSm2Te6, with properties calculated at the PBE-GGA level.

Results
- Uncorrected energy: -4.3835 eV/atom
- M_tot: 0.0 Bohr magnetons per cell
- Mass density: 5.266 g/cm3
- Energy relative to the elements, uncorrected: -1398.3 meV/atom

a b c (Å): 7.937 7.937 8.964
angles (deg): 98.49 98.49 120.00
Fractional positions:
Rb: 0.832 0.168 0.500
Te: 0.067 0.397 0.202
Te: 0.738 0.738 0.202
Te: 0.397 0.067 0.202
Sm: 0.667 0.333 0.000
Sm: 0.333 0.667 0.000
Rb: 0.500 0.500 0.500
Te: 0.933 0.603 0.798
Te: 0.603 0.933 0.798
Tb: 0.000 0.000 0.000
Rb: 0.168 0.832 0.500
Te: 0.262 0.262 0.798

---

6.
Below is an optimized crystal structure of AsSeN2, with properties calculated at the PBE-GGA level.

Results
- Uncorrected energy: -5.4334 eV/atom
- M_tot: 0.0 Bohr magnetons per cell
- Mass density: 5.943 g/cm3
- Energy relative to the lowest polymorph listed for this composition: 64.6 kJ/mol of atoms
- Energy relative to the elements, uncorrected: 762.8 meV/atom
- DOS(E_F): 0.29 states/eV per atom

a b c (Å): 6.606 6.606 6.606
angles (deg): 26.56 26.56 26.56
Fractional positions:
N: 0.112 0.112 0.112
Se: 0.000 0.000 0.000
As: 0.500 0.500 0.500
N: 0.888 0.888 0.888